Record 1
NaLiTe3Pd | PBE | relaxed

Properties
- crystal system = orthorhombic
- SG = No. 63
- electronic total energy (eV for the cell shown) = -41.997

Unit cell a=6.8677 b=6.8677 c=10.7085 alpha=90.00 beta=90.00 gamma=144.49
Closest atoms and distances in Å follow each position.
Element x y z (fractional)
Te1 0.1355 0.8645 0.4778  1 Li 2.74, 2 Pd 2.75
Li1 0.9600 0.0400 0.7500  4 Te 2.63-2.74
Te2 0.1355 0.8645 0.0222  1 Li 2.74, 2 Pd 2.75
Te3 0.4179 0.5821 0.2500  2 Li 2.63, 2 Pd 2.88
Na1 0.2645 0.7355 0.7500  8 Te 3.17-3.47, 2 Li 3.31
Te4 0.5821 0.4179 0.7500  2 Li 2.63, 2 Pd 2.88
Te5 0.8645 0.1355 0.5222  1 Li 2.74, 2 Pd 2.75
Pd1 0.5000 0.5000 0.5000  6 Te 2.75-2.88
Pd2 0.5000 0.5000 0.0000  6 Te 2.75-2.88
Li2 0.0400 0.9600 0.2500  4 Te 2.63-2.74
Te6 0.8645 0.1355 0.9778  1 Li 2.74, 2 Pd 2.75
Na2 0.7355 0.2645 0.2500  8 Te 3.17-3.47, 2 Li 3.31

---

Record 2
NaLiTePd | PBE | relaxed

Properties
- ΔE to the lowest computed polymorph (meV per atom) = 0.0
- crystal system = cubic
- SG = No. 216
- electronic total energy (eV for the cell shown) = -13.909

Unit cell a=4.7385 b=4.7385 c=4.7385 alpha=60.00 beta=60.00 gamma=60.00
Closest atoms and distances in Å follow each position.
Element x y z (fractional)
Te1 0.2500 0.2500 0.2500  4 Pd 2.90, 4 Li 2.90
Pd1 0.5000 0.5000 0.5000  4 Na 2.90, 4 Te 2.90
Li1 0.0000 0.0000 0.0000  4 Na 2.90, 4 Te 2.90
Na1 0.7500 0.7500 0.7500  4 Pd 2.90, 4 Li 2.90

---

What is the electronic total energy in the second record?
-13.909 eV for the cell shown

---

Which value of electronic total energy does entry 2 give?
-13.909 eV for the cell shown

---

Which of these has the highest electronic total energy?
NaLiTePd